(1)
Crystalline U2Te3 at its relaxed geometry, computed with PBEsol.

Calculated values
* E_form (uncorrected): -0.48 eV/atom
* magnetization: 1.120 μB/atom
* N(E_F): 2.90 states/eV/atom

Lattice parameters (Å, degrees): 11.7236 4.1497 11.5126 90.00 90.00 90.00
Space group Pnma (No. 62)
Inequivalent atoms, fractional coordinates:
U  0.0158  0.2500  0.1847 [4 per cell]
U  0.1932  0.2500  0.5066 [4 per cell]
Te  0.0496  0.7500  0.3741 [4 per cell]
Te  0.1243  0.2500  0.9436 [4 per cell]
Te  0.2254  0.7500  0.7080 [4 per cell]

***

(2)
Crystalline YUTe6 at its relaxed geometry, computed with PBEsol.

Calculated values
* E_form (uncorrected): -0.71 eV/atom
* magnetization: 0.290 μB/atom
* N(E_F): 1.27 states/eV/atom

Lattice parameters (Å, degrees): 4.3128 4.3039 24.9913 90.00 90.00 90.00
Space group Amm2 (No. 38)
Inequivalent atoms, fractional coordinates:
Y  0.0000  0.0000  0.0000 [2 per cell]
U  0.5000  0.0000  0.3355 [2 per cell]
Te  0.0000  0.0000  0.2425 [2 per cell]
Te  0.0000  0.0000  0.5954 [2 per cell]
Te  0.0000  0.0000  0.8717 [2 per cell]
Te  0.5000  0.0000  0.0957 [2 per cell]
Te  0.5000  0.0000  0.4618 [2 per cell]
Te  0.5000  0.0000  0.7425 [2 per cell]

***

(3)
Crystalline V9Te8 at its relaxed geometry, computed with PBEsol.

Calculated values
* E_form (uncorrected): -0.34 eV/atom
* magnetization: 0.000 μB/atom
* N(E_F): 0.58 states/eV/atom

Lattice parameters (Å, degrees): 6.9799 7.1059 7.3418 105.10 105.64 90.46
Space group P1 (No. 1)
Inequivalent atoms, fractional coordinates:
V  0.0000  0.0000  0.0000 [1 per cell]
V  0.0009  0.9738  0.5476 [1 per cell]
V  0.1562  0.3548  0.1547 [1 per cell]
V  0.6649  0.1961  0.5021 [1 per cell]
V  0.7118  0.2051  0.9866 [1 per cell]
V  0.8621  0.5793  0.6123 [1 per cell]
V  0.8732  0.5632  0.1569 [1 per cell]
V  0.9321  0.2838  0.3755 [1 per cell]
V  0.9355  0.2853  0.8016 [1 per cell]
Te  0.1449  0.6413  0.9670 [1 per cell]
Te  0.1741  0.6327  0.4916 [1 per cell]
Te  0.2562  0.0837  0.3677 [1 per cell]
Te  0.2894  0.1073  0.8689 [1 per cell]
Te  0.5756  0.4567  0.2810 [1 per cell]
Te  0.5938  0.4801  0.7930 [1 per cell]
Te  0.6902  0.9063  0.6703 [1 per cell]
Te  0.7185  0.9239  0.1876 [1 per cell]

***

(4)
Crystalline V5Te8 at its relaxed geometry, computed with PBEsol.

Calculated values
* E_form (uncorrected): -0.34 eV/atom
* magnetization: 0.140 μB/atom
* N(E_F): 0.52 states/eV/atom

Lattice parameters (Å, degrees): 12.4804 7.4154 8.7790 90.00 134.33 90.00
Space group C2/m (No. 12)
Inequivalent atoms, fractional coordinates:
V  0.0000  0.0000  0.0000 [2 per cell]
V  0.0000  0.3085  0.5000 [4 per cell]
V  0.2138  0.5000  0.9365 [4 per cell]
Te  0.0123  0.0000  0.3212 [4 per cell]
Te  0.0765  0.5000  0.3417 [4 per cell]
Te  0.2081  0.2580  0.1724 [8 per cell]

***

(5)
Crystalline V3Te4 at its relaxed geometry, computed with PBEsol.

Calculated values
* E_form (uncorrected): -0.31 eV/atom
* magnetization: 0.290 μB/atom
* N(E_F): 0.71 states/eV/atom

Lattice parameters (Å, degrees): 14.0027 3.5577 6.5687 90.00 115.86 90.00
Space group C2/m (No. 12)
Inequivalent atoms, fractional coordinates:
V  0.0000  0.0000  0.0000 [2 per cell]
V  0.2453  0.5000  0.6793 [4 per cell]
Te  0.1031  0.0000  0.4473 [4 per cell]
Te  0.1426  0.5000  0.9739 [4 per cell]

***

(6)
Crystalline TeW3 at its relaxed geometry, computed with PBEsol.

Calculated values
* E_form (uncorrected): 0.85 eV/atom
* magnetization: 0.000 μB/atom
* N(E_F): 1.04 states/eV/atom

Lattice parameters (Å, degrees): 9.0138 9.0138 2.8993 90.00 90.00 120.00
Space group R-3m (No. 166, hexagonal axes)
Inequivalent atoms, fractional coordinates:
Te  0.0000  0.0000  0.0000 [3 per cell]
W  0.0000  0.5000  0.0000 [9 per cell]

***

(7)
Crystalline TeW at its relaxed geometry, computed with PBEsol.

Calculated values
* E_form (uncorrected): 0.47 eV/atom
* magnetization: 0.000 μB/atom
* N(E_F): 0.23 states/eV/atom
* relative energy among the computed polymorphs: 144 meV per atom

Lattice parameters (Å, degrees): 8.7909 3.3553 6.7317 90.00 99.74 90.00
Space group C2/m (No. 12)
Inequivalent atoms, fractional coordinates:
Te  0.1064  0.0000  0.2710 [4 per cell]
W  0.1396  0.5000  0.9468 [4 per cell]

***

(8)
Crystalline TeW at its relaxed geometry, computed with PBEsol.

Calculated values
* E_form (uncorrected): 0.33 eV/atom
* magnetization: 0.000 μB/atom
* N(E_F): 0.64 states/eV/atom
* relative energy among the computed polymorphs: 0 meV per atom

Lattice parameters (Å, degrees): 3.1863 3.1863 8.1121 90.00 90.00 90.00
Space group P4/nmm (No. 129, origin choice 2)
Inequivalent atoms, fractional coordinates:
Te  0.2500  0.2500  0.1915 [2 per cell]
W  0.2500  0.2500  0.6054 [2 per cell]

***

(9)
Crystalline TeW at its relaxed geometry, computed with PBEsol.

Calculated values
* E_form (uncorrected): 1.24 eV/atom
* magnetization: 0.000 μB/atom
* N(E_F): 1.32 states/eV/atom
* relative energy among the computed polymorphs: 912 meV per atom

Lattice parameters (Å, degrees): 6.7807 6.7807 6.7807 90.00 90.00 90.00
Space group Fd-3m (No. 227, origin choice 2)
Inequivalent atoms, fractional coordinates:
Te  0.1250  0.1250  0.1250 [8 per cell]
W  0.1250  0.1250  0.6250 [8 per cell]

***

(10)
Crystalline TeW at its relaxed geometry, computed with PBEsol.

Calculated values
* E_form (uncorrected): 1.53 eV/atom
* magnetization: 0.700 μB/atom
* N(E_F): 1.28 states/eV/atom
* relative energy among the computed polymorphs: 1204 meV per atom

Lattice parameters (Å, degrees): 6.0455 6.0455 6.0455 90.00 90.00 90.00
Space group F-43m (No. 216)
Inequivalent atoms, fractional coordinates:
Te  0.0000  0.0000  0.0000 [4 per cell]
W  0.2500  0.2500  0.7500 [4 per cell]

***

(11)
Crystalline YTeW2 at its relaxed geometry, computed with PBEsol.

Calculated values
* E_form (uncorrected): 0.32 eV/atom
* magnetization: 0.000 μB/atom
* N(E_F): 0.69 states/eV/atom

Lattice parameters (Å, degrees): 3.2770 4.4021 5.6270 90.00 97.88 90.00
Space group Pm (No. 6)
Inequivalent atoms, fractional coordinates:
Y  0.0000  0.0000  0.0000 [1 per cell]
Te  0.5617  0.5000  0.2196 [1 per cell]
W  0.3138  0.5000  0.7017 [1 per cell]
W  0.5736  0.0000  0.5277 [1 per cell]

***

(12)
Crystalline YTe2W at its relaxed geometry, computed with PBEsol.

Calculated values
* E_form (uncorrected): -0.13 eV/atom
* magnetization: 0.188 μB/atom
* N(E_F): 0.85 states/eV/atom
* relative energy among the computed polymorphs: 0 meV per atom

Lattice parameters (Å, degrees): 4.9458 4.9458 3.4947 90.00 90.00 90.00
Space group P4/mmm (No. 123)
Inequivalent atoms, fractional coordinates:
Y  0.0000  0.0000  0.0000 [1 per cell]
Te  0.0000  0.5000  0.5000 [2 per cell]
W  0.5000  0.5000  0.0000 [1 per cell]

***

(13)
Crystalline YTeW2 at its relaxed geometry, computed with PBEsol.

Calculated values
* E_form (uncorrected): 0.56 eV/atom
* magnetization: 0.000 μB/atom
* N(E_F): 0.96 states/eV/atom

Lattice parameters (Å, degrees): 4.4242 4.4242 7.8192 90.00 90.00 90.00
Space group I-4m2 (No. 119)
Inequivalent atoms, fractional coordinates:
Y  0.0000  0.0000  0.0000 [2 per cell]
Te  0.0000  0.5000  0.7500 [2 per cell]
W  0.0000  0.0000  0.5000 [2 per cell]
W  0.0000  0.5000  0.2500 [2 per cell]

***

(14)
Crystalline YTe3W at its relaxed geometry, computed with PBEsol.

Calculated values
* E_form (uncorrected): 0.29 eV/atom
* magnetization: 0.001 μB/atom
* N(E_F): 1.26 states/eV/atom

Lattice parameters (Å, degrees): 5.2671 5.2671 5.2671 90.00 90.00 90.00
Space group Pm-3m (No. 221)
Inequivalent atoms, fractional coordinates:
Y  0.0000  0.0000  0.0000 [1 per cell]
Te  0.0000  0.5000  0.5000 [3 per cell]
W  0.5000  0.5000  0.5000 [1 per cell]

***

Number 1: volume 560 Å³ per cell. Number 2: volume 464 Å³ per cell. Number 3: volume 337 Å³ per cell. Number 4: volume 581 Å³ per cell. Number 5: volume 294 Å³ per cell. Number 6: volume 204 Å³ per cell. Number 7: volume 196 Å³ per cell. Number 8: volume 82 Å³ per cell. Number 9: volume 312 Å³ per cell. Number 10: volume 221 Å³ per cell. Number 11: volume 80 Å³ per cell. Number 12: volume 85 Å³ per cell. Number 13: volume 153 Å³ per cell. Number 14: volume 146 Å³ per cell.